1.
TaMn3Tl4Se8: relaxed, GGA-PBE.

Values from the calculation:
Fermi-level density of states: 5.3 states/eV/cell
E_tot: -5.264 eV/atom

Unit cell a=7.7510 b=8.8791 c=7.7537 alpha=115.96 beta=119.99 gamma=90.00
Site moments in Bohr magnetons follow the coordinates.
Element x y z (fractional)
Se: 0.2252 0.6900 0.9644  0.00
Se: 0.7747 0.3097 0.5493  0.00
Se: 0.7748 0.3100 0.0356  0.00
Tl: 0.0000 0.0000 0.5000  0.03
Ta: 0.0000 0.5000 0.0000  0.45
Se: 0.2607 0.3100 0.0356  0.00
Se: 0.2750 0.3251 0.5500  -0.04
Mn: 0.5000 0.5000 0.5000  4.05
Tl: 0.5000 0.0000 0.0000  0.02
Mn: 0.5000 0.5000 0.0000  4.05
Tl: 0.0000 0.0000 0.0000  0.04
Tl: 0.5000 0.0000 0.5000  0.03
Se: 0.7250 0.6749 0.4500  -0.04
Se: 0.7393 0.6900 0.9644  0.00
Se: 0.2253 0.6903 0.4507  0.00
Mn: 0.0000 0.5000 0.5000  4.05

=====

2.
TbMnSe3: relaxed, GGA-PBE.

Values from the calculation:
Fermi-level density of states: 2.8 states/eV/cell
E_tot: -5.959 eV/atom

Unit cell a=3.9394 b=7.3365 c=7.9469 alpha=94.53 beta=90.00 gamma=90.00
Site moments in Bohr magnetons follow the coordinates.
Element x y z (fractional)
Se: 0.2500 0.7215 0.0416  0.00
Se: 0.2500 0.3765 0.5958  -0.09
Se: 0.2500 0.9062 0.6627  -0.02
Mn: 0.2500 0.8463 0.3402  3.78
Se: 0.7500 0.2785 0.9584  0.00
Tb: 0.7500 0.6273 0.7872  0.07
Se: 0.7500 0.6235 0.4042  -0.09
Mn: 0.7500 0.1537 0.6598  3.78
Se: 0.7500 0.0938 0.3373  -0.02
Tb: 0.2500 0.3727 0.2128  0.07

=====

3.
Tb3Mn5Se12: relaxed, GGA-PBE.

Values from the calculation:
Fermi-level density of states: 23.1 states/eV/cell
E_tot: -5.982 eV/atom

Unit cell a=13.6339 b=13.6339 c=13.6339 alpha=109.47 beta=109.47 gamma=109.47
Site moments in Bohr magnetons follow the coordinates.
Element x y z (fractional)
Se: 0.6233 0.5897 0.9153  -0.04
Se: 0.8256 0.9103 0.0336  -0.04
Tb: 0.8750 0.7500 0.1250  0.12
Se: 0.5897 0.9664 0.6744  -0.04
Mn: 0.6250 0.7500 0.8750  3.77
Tb: 0.2500 0.1250 0.3750  0.12
Se: 0.0847 0.9103 0.3767  -0.04
Mn: 0.0000 0.0000 0.5000  3.62
Se: 0.0336 0.4103 0.8256  -0.04
Tb: 0.3750 0.7500 0.6250  0.12
Se: 0.9103 0.0847 0.8767  -0.04
Mn: 0.6250 0.8750 0.2500  3.77
Se: 0.0897 0.9153 0.1233  -0.04
Se: 0.1744 0.0847 0.7080  -0.04
Mn: 0.5000 0.5000 0.5000  3.62
Se: 0.2920 0.8767 0.9664  -0.04
Se: 0.4103 0.3767 0.5847  -0.04
Se: 0.7080 0.1233 0.0336  -0.04
Tb: 0.3750 0.6250 0.2500  0.12
Se: 0.4664 0.7920 0.8767  -0.04
Se: 0.0847 0.1744 0.2080  -0.04
Mn: 0.3750 0.2500 0.1250  3.77
Mn: 0.3750 0.1250 0.7500  3.77
Se: 0.1233 0.7080 0.5336  -0.04
Mn: 0.8750 0.2500 0.6250  3.77
Se: 0.3767 0.9664 0.7920  -0.04
Se: 0.3256 0.7920 0.4153  -0.04
Se: 0.8256 0.9153 0.2920  -0.04
Tb: 0.2500 0.6250 0.8750  0.12
Se: 0.5336 0.3256 0.9103  -0.04
Se: 0.3256 0.5336 0.4103  -0.04
Mn: 0.5000 0.0000 0.0000  3.62
Mn: 0.8750 0.6250 0.7500  3.77
Se: 0.9664 0.3767 0.2920  -0.04
Se: 0.1233 0.4153 0.0897  -0.04
Mn: 0.5000 0.0000 0.5000  3.62
Se: 0.8767 0.2920 0.4664  -0.04
Se: 0.2080 0.5336 0.6233  -0.04
Se: 0.5336 0.2080 0.1233  -0.04
Se: 0.8767 0.5847 0.9103  -0.04
Se: 0.2920 0.4153 0.8256  -0.04
Tb: 0.1250 0.8750 0.7500  0.12
Se: 0.5847 0.7080 0.6744  -0.04
Tb: 0.6250 0.3750 0.7500  0.12
Mn: 0.5000 0.5000 0.0000  3.62
Se: 0.0897 0.1744 0.4664  -0.04
Mn: 0.7500 0.1250 0.8750  3.77
Tb: 0.1250 0.2500 0.8750  0.12
Se: 0.2080 0.6744 0.0847  -0.04
Mn: 0.2500 0.8750 0.1250  3.77
Mn: 0.0000 0.5000 0.0000  3.62
Se: 0.9153 0.8256 0.7920  -0.04
Tb: 0.8750 0.1250 0.2500  0.12
Tb: 0.6250 0.2500 0.3750  0.12
Se: 0.5897 0.6233 0.4153  -0.04
Se: 0.9664 0.5897 0.1744  -0.04
Se: 0.6744 0.2080 0.5847  -0.04
Mn: 0.1250 0.3750 0.2500  3.77
Se: 0.6744 0.4664 0.5897  -0.04
Se: 0.4153 0.1233 0.5897  -0.04
Se: 0.5847 0.8767 0.4103  -0.04
Se: 0.7920 0.3256 0.9153  -0.04
Se: 0.4103 0.0336 0.3256  -0.04
Se: 0.9103 0.8256 0.5336  -0.04
Se: 0.3767 0.4103 0.0847  -0.04
Se: 0.1744 0.0897 0.9664  -0.04
Tb: 0.7500 0.3750 0.1250  0.12
Se: 0.7080 0.5847 0.1744  -0.04
Se: 0.9153 0.0897 0.6233  -0.04
Se: 0.4664 0.6744 0.0897  -0.04
Mn: 0.1250 0.7500 0.3750  3.77
Mn: 0.2500 0.3750 0.6250  3.77
Se: 0.6233 0.0336 0.2080  -0.04
Mn: 0.0000 0.5000 0.5000  3.62
Tb: 0.7500 0.8750 0.6250  0.12
Se: 0.7920 0.4664 0.3767  -0.04
Mn: 0.0000 0.0000 0.0000  3.62
Se: 0.4153 0.2920 0.3256  -0.04
Se: 0.0336 0.6233 0.7080  -0.04
Mn: 0.7500 0.6250 0.3750  3.77

=====

4.
TbMn4Se8: relaxed, GGA-PBE.

Values from the calculation:
Fermi-level density of states: 6.5 states/eV/cell
E_tot: -5.991 eV/atom

Unit cell a=7.4166 b=7.4166 c=7.9587 alpha=62.23 beta=62.23 gamma=60.00
Site moments in Bohr magnetons follow the coordinates.
Element x y z (fractional)
Se: 0.7596 0.2669 0.2140  -0.04
Se: 0.7339 0.7339 0.7982  -0.11
Se: 0.7331 0.2404 0.7860  -0.04
Mn: 0.0000 0.5000 0.0000  3.42
Se: 0.2404 0.2404 0.7860  -0.04
Tb: 0.5000 0.5000 0.5000  0.18
Se: 0.2404 0.7331 0.7860  -0.04
Mn: 0.5000 0.5000 0.0000  3.42
Se: 0.7596 0.7596 0.2140  -0.04
Mn: 0.0000 0.0000 0.0000  4.15
Se: 0.2661 0.2661 0.2018  -0.11
Se: 0.2669 0.7596 0.2140  -0.04
Mn: 0.5000 0.0000 0.0000  3.42

=====

5.
TbMnSe2: relaxed, GGA-PBE.

Values from the calculation:
Fermi-level density of states: 1.6 states/eV/cell
E_tot: -5.970 eV/atom

Unit cell a=3.9478 b=3.9478 c=6.0670 alpha=71.01 beta=71.01 gamma=60.00
Element x y z (fractional)
Se: 0.7689 0.7689 0.6933
Mn: 0.5000 0.5000 0.5000
Tb: 0.0000 0.0000 0.0000
Se: 0.2311 0.2311 0.3067

=====

6.
Tb5MnSe4: relaxed, GGA-PBE.

Values from the calculation:
Fermi-level density of states: 6.4 states/eV/cell
E_tot: -5.919 eV/atom

Unit cell a=5.8250 b=7.1277 c=7.1277 alpha=80.39 beta=65.88 gamma=65.88
Site moments in Bohr magnetons follow the coordinates.
Element x y z (fractional)
Tb: 0.9025 0.3886 0.8077  0.04
Se: 0.8060 0.7892 0.6006  0.01
Mn: 0.0020 0.0000 0.0000  3.23
Tb: 0.7103 0.1923 0.3886  0.04
Se: 0.1958 0.2108 0.3994  0.01
Tb: 0.0988 0.6114 0.1923  0.04
Se: 0.5951 0.6006 0.2108  0.01
Tb: 0.5021 0.0000 0.0000  -0.08
Tb: 0.2911 0.8077 0.6114  0.04
Se: 0.4066 0.3994 0.7892  0.01

=====

7.
Tb2MnSe: relaxed, GGA-PBE.

Values from the calculation:
Fermi-level density of states: 3.3 states/eV/cell
E_tot: -5.644 eV/atom

Unit cell a=3.6823 b=3.6823 c=9.6066 alpha=78.95 beta=78.95 gamma=60.00
Site moments in Bohr magnetons follow the coordinates.
Element x y z (fractional)
Mn: 0.0000 0.0000 0.0000  3.69
Tb: 0.0997 0.0997 0.7008  -0.37
Se: 0.5000 0.5000 0.5000  0.00
Tb: 0.9003 0.9003 0.2992  -0.37

=====

8.
TbMn2Se4: relaxed, GGA-PBE.

Values from the calculation:
Fermi-level density of states: 4.1 states/eV/cell
E_tot: -6.201 eV/atom

Unit cell a=3.8699 b=6.5770 c=12.6864 alpha=90.00 beta=90.00 gamma=107.11
Site moments in Bohr magnetons follow the coordinates.
Element x y z (fractional)
Se: 0.2242 0.4484 0.6128  0.03
Se: 0.7758 0.5516 0.3872  0.03
Se: 0.7758 0.5516 0.1128  0.03
Se: 0.5000 0.0000 0.5000  0.01
Tb: 0.6150 0.2301 0.7500  0.14
Se: 0.0525 0.1050 0.2500  0.00
Mn: 0.8681 0.7362 0.9331  4.03
Mn: 0.1319 0.2638 0.4331  4.03
Mn: 0.1319 0.2638 0.0669  4.03
Se: 0.5000 0.0000 0.0000  0.01
Se: 0.2242 0.4484 0.8872  0.03
Tb: 0.3850 0.7699 0.2500  0.14
Mn: 0.8681 0.7362 0.5669  4.03
Se: 0.9475 0.8950 0.7500  0.00

=====

9.
Tb2Mn2Te2Se3: relaxed, GGA-PBE.

Values from the calculation:
Fermi-level density of states: 3.8 states/eV/cell
E_tot: -5.757 eV/atom

Unit cell a=4.9327 b=4.9327 c=10.0853 alpha=104.16 beta=104.16 gamma=90.00
Site moments in Bohr magnetons follow the coordinates.
Element x y z (fractional)
Tb: 0.8270 0.8270 0.6540  0.06
Se: 0.7500 0.2500 0.5000  0.01
Se: 0.2500 0.7500 0.5000  0.01
Te: 0.4020 0.4020 0.8040  0.09
Mn: 0.5000 0.0000 0.0000  4.09
Mn: 0.0000 0.5000 0.0000  4.09
Te: 0.5980 0.5980 0.1960  0.09
Tb: 0.1730 0.1730 0.3460  0.06
Se: 0.0000 0.0000 0.0000  0.07

=====

10.
Tb2MnTl3Se6: relaxed, GGA-PBE.

Values from the calculation:
Fermi-level density of states: 3.8 states/eV/cell
E_tot: -4.894 eV/atom

Unit cell a=7.0613 b=7.0613 c=8.0540 alpha=98.87 beta=98.87 gamma=119.22
Site moments in Bohr magnetons follow the coordinates.
Element x y z (fractional)
Se: 0.3704 0.0641 0.1931  -0.02
Mn: 0.0000 0.0000 0.0000  3.84
Se: 0.2498 0.2498 0.7847  0.01
Se: 0.0641 0.3704 0.1931  -0.02
Tl: 0.8249 0.1751 0.5000  0.00
Tl: 0.5000 0.5000 0.5000  0.01
Tb: 0.6646 0.3354 0.0000  0.02
Se: 0.9359 0.6296 0.8069  -0.02
Tb: 0.3354 0.6646 0.0000  0.02
Se: 0.7502 0.7502 0.2153  0.01
Tl: 0.1751 0.8249 0.5000  0.00
Se: 0.6296 0.9359 0.8069  -0.02

=====

11.
Tb2YMnSe6: relaxed, GGA-PBE.

Values from the calculation:
Fermi-level density of states: 4.5 states/eV/cell
E_tot: -6.002 eV/atom

Unit cell a=7.0581 b=7.0504 c=7.5142 alpha=61.94 beta=61.98 gamma=60.07
Site moments in Bohr magnetons follow the coordinates.
Element x y z (fractional)
Tb: 0.5186 0.5188 0.4438  0.04
Se: 0.5835 0.2153 0.2495  -0.02
Se: 0.6958 0.1103 0.7673  -0.02
Se: 0.2158 0.9523 0.2488  -0.02
Y: 0.8202 0.8200 0.5399  0.05
Se: 0.1102 0.4267 0.7674  -0.02
Tb: 0.0158 0.0160 0.9515  0.02
Se: 0.4263 0.6956 0.7679  -0.03
Mn: 0.3237 0.3237 0.0294  3.80
Se: 0.9519 0.5829 0.2498  -0.02

=====

12.
MnTc2Se: relaxed, GGA-PBE.

Values from the calculation:
Fermi-level density of states: 3.9 states/eV/cell
E_tot: -8.108 eV/atom

Unit cell a=4.7345 b=4.7345 c=4.4806 alpha=84.07 beta=84.07 gamma=36.52
Site moments in Bohr magnetons follow the coordinates.
Element x y z (fractional)
Se: 0.7500 0.7500 0.7500  -0.07
Mn: 0.2500 0.2500 0.2500  2.54
Tc: 0.9741 0.9741 0.0255  -0.25
Tc: 0.5259 0.5259 0.4745  -0.25

=====

- E_tot of number 3 (Tb3Mn5Se12)?
  -5.982 eV/atom

=====

What did the twelfth record say?
MnTc2Se: relaxed, GGA-PBE.

Values from the calculation:
Fermi-level density of states: 3.9 states/eV/cell
E_tot: -8.108 eV/atom

Unit cell a=4.7345 b=4.7345 c=4.4806 alpha=84.07 beta=84.07 gamma=36.52
Site moments in Bohr magnetons follow the coordinates.
Element x y z (fractional)
Se: 0.7500 0.7500 0.7500  -0.07
Mn: 0.2500 0.2500 0.2500  2.54
Tc: 0.9741 0.9741 0.0255  -0.25
Tc: 0.5259 0.5259 0.4745  -0.25

=====

- What is the E_tot in the fifth record?
  -5.970 eV/atom

=====

- What is the E_tot in the ninth record?
  -5.757 eV/atom